# 1
An optimized crystal structure of CaSc2Bi2, computed with PBE.

Summary:
The energy is -50.42 eV/cell. Its space group is P4/mbm, No. 127.

Cell: 8.3274 8.3274 4.0082 Å, 90.00 90.00 90.00°
With the nearest neighbours (Å) after each atom.
Atoms (fractional coordinates):
Sc1 0.6450 0.8550 0.5000  6 Bi 3.12-3.18, 1 Sc 3.42
Bi1 0.3485 0.8485 0.0000  6 Sc 3.12-3.18, 2 Ca 3.16
Bi2 0.1515 0.3485 0.0000  6 Sc 3.12-3.18, 2 Ca 3.16
Bi3 0.6515 0.1515 0.0000  6 Sc 3.12-3.18, 2 Ca 3.16
Ca1 0.0000 0.0000 0.0000  4 Bi 3.16
Bi4 0.8485 0.6515 0.0000  6 Sc 3.12-3.18, 2 Ca 3.16
Sc2 0.8550 0.3550 0.5000  6 Bi 3.12-3.18, 1 Sc 3.42
Sc3 0.1450 0.6450 0.5000  6 Bi 3.12-3.18, 1 Sc 3.42
Sc4 0.3550 0.1450 0.5000  6 Bi 3.12-3.18, 1 Sc 3.42
Ca2 0.5000 0.5000 0.0000  4 Bi 3.16

# 2
An optimized crystal structure of PrSm2Tm3, computed with PBE.

Summary:
The energy is -54.41 eV/cell. Its space group is C2/c, No. 15.

Cell: 6.6440 6.6440 8.9698 Å, 97.94 97.94 95.18°
With the nearest neighbours (Å) after each atom.
Atoms (fractional coordinates):
Sm1 0.1304 0.6236 0.8739  2 Sm 3.44-3.52, 9 Tm 3.64-3.75, 3 Pr 3.69-3.75
Tm1 0.1659 0.3337 0.4984  3 Tm 3.26-3.47, 2 Pr 3.27-3.49
Tm2 0.4200 0.5800 0.2500  4 Tm 3.26-3.47, 1 Pr 3.27, 2 Sm 3.64
Sm2 0.6236 0.1304 0.3739  2 Sm 3.44-3.52, 9 Tm 3.64-3.75, 3 Pr 3.69-3.75
Sm3 0.8696 0.3764 0.1261  2 Sm 3.44-3.52, 9 Tm 3.64-3.75, 3 Pr 3.69-3.75
Tm3 0.6663 0.8341 0.0016  3 Tm 3.26-3.47, 2 Pr 3.27-3.49
Pr1 0.0863 0.9137 0.2500  5 Tm 3.27-3.49
Tm4 0.5800 0.4200 0.7500  4 Tm 3.26-3.47, 1 Pr 3.27, 2 Sm 3.64
Sm4 0.3764 0.8696 0.6261  2 Sm 3.44-3.52, 9 Tm 3.64-3.75, 3 Pr 3.69-3.75
Tm5 0.3337 0.1659 0.9984  3 Tm 3.26-3.47, 2 Pr 3.27-3.49
Tm6 0.8341 0.6663 0.5016  3 Tm 3.26-3.47, 2 Pr 3.27-3.49
Pr2 0.9137 0.0863 0.7500  5 Tm 3.27-3.49

# 3
An optimized crystal structure of Pm4HCS2, computed with PBE.

Summary:
The energy is -49.22 eV/cell. Its space group is P2/m, No. 10.

Cell: 3.8867 6.6726 6.7618 Å, 107.92 90.00 90.00°
With the nearest neighbours (Å) after each atom.
Atoms (fractional coordinates):
Pm1 0.0000 0.2681 0.7833  2 C 2.63, 1 H 2.64, 3 S 2.81-2.92
Pm2 0.5000 0.7341 0.7610  1 C 2.57, 3 S 2.76-2.86, 2 H 2.79
C1 0.5000 0.5000 0.0000  6 Pm 2.57-2.63
S1 0.5000 0.0000 0.5000  6 Pm 2.86-2.92
H1 0.0000 0.0000 0.0000  6 Pm 2.64-2.79
Pm3 0.5000 0.2659 0.2390  1 C 2.57, 3 S 2.76-2.86, 2 H 2.79
S2 0.0000 0.5000 0.5000  6 Pm 2.76-2.81
Pm4 0.0000 0.7319 0.2167  2 C 2.63, 1 H 2.64, 3 S 2.81-2.92

# 4
An optimized crystal structure of Ca3HPd, computed with PBE.

Summary:
The energy is -67.18 eV/cell. Its space group is C2/c, No. 15.

Cell: 7.2233 8.6583 8.6583 Å, 79.60 77.85 77.85°
With the nearest neighbours (Å) after each atom.
Atoms (fractional coordinates):
Ca1 0.1365 0.9994 0.7507  1 H 2.29
Pd1 0.7500 0.0542 0.9458  6 Ca 2.85-2.94
Ca2 0.5069 0.4054 0.3264  2 H 2.30-2.31
Pd2 0.2500 0.3411 0.6589  8 Ca 3.03-3.16
Ca3 0.8787 0.3542 0.9002  1 H 2.28
Ca4 0.9931 0.6736 0.5946  2 H 2.30-2.31
Ca5 0.6213 0.0998 0.6458  1 H 2.28
Ca6 0.8635 0.0006 0.2493  1 H 2.29
Pd3 0.7500 0.6589 0.3411  8 Ca 3.03-3.16
Ca7 0.1213 0.6458 0.0998  1 H 2.28
H1 0.2467 0.7932 0.6034  4 Ca 2.28-2.31
H2 0.2533 0.3966 0.2068  4 Ca 2.28-2.31
Ca8 0.0069 0.3264 0.4054  2 H 2.30-2.31
Ca9 0.3787 0.9002 0.3542  1 H 2.28
Ca10 0.6365 0.7507 0.9994  1 H 2.29
H3 0.7467 0.6034 0.7932  4 Ca 2.28-2.31
H4 0.7533 0.2068 0.3966  4 Ca 2.28-2.31
Pd4 0.2500 0.9458 0.0542  6 Ca 2.85-2.94
Ca11 0.3635 0.2493 0.0006  1 H 2.29
Ca12 0.4931 0.5946 0.6736  2 H 2.30-2.31

# 5
An optimized crystal structure of NaCrIr2Os, computed with PBE.

Summary:
The energy is -30.77 eV/cell. Its space group is P4/mmm, No. 123.

Cell: 4.4594 4.4820 4.4594 Å, 90.00 90.00 90.00°
With the nearest neighbours (Å) after each atom.
Atoms (fractional coordinates):
Ir1 0.0000 0.0000 0.5000  2 Cr 2.23
Ir2 0.5000 0.0000 0.0000  2 Cr 2.23
Na1 0.0000 0.5000 0.0000  2 Cr 2.24
Cr1 0.0000 0.0000 0.0000  4 Ir 2.23, 2 Na 2.24
Os1 0.5000 0.5000 0.5000  4 Na 3.15, 8 Ir 3.16

# 6
An optimized crystal structure of Ba2HgPbS4, computed with PBE.

Summary:
Its space group is C2/c, No. 15. The value obtained for the formation energy without anion corrections is -1.111 eV/atom.

Cell: 8.7307 8.7307 8.7395 Å, 117.61 117.61 95.23°
With the nearest neighbours (Å) after each atom.
Atoms (fractional coordinates):
S1 0.2106 0.7225 0.0077  1 Hg 2.50
S2 0.7365 0.7607 0.5071  2 Pb 2.89-3.13, 3 Ba 3.01-3.22
S3 0.7775 0.2894 0.4923  1 Hg 2.50
Hg1 0.0000 0.5000 0.0000  2 S 2.50
S4 0.7393 0.7635 0.9929  2 Pb 2.89-3.13, 3 Ba 3.01-3.22
Ba1 0.5000 0.0000 0.0000  6 S 3.07-3.38
Pb1 0.0000 0.0000 0.0000  6 S 2.89-3.18
S5 0.2225 0.7106 0.5077  1 Hg 2.50
Ba2 0.5000 0.5000 0.0000  6 S 3.01-3.33
Hg2 0.0000 0.5000 0.5000  2 S 2.50
Ba3 0.5000 0.0000 0.5000  6 S 3.07-3.38
S6 0.2635 0.2393 0.4929  2 Pb 2.89-3.13, 3 Ba 3.01-3.22
Ba4 0.0000 0.0000 0.5000  6 S 3.01-3.33
S7 0.7894 0.2775 0.9923  1 Hg 2.50
S8 0.2607 0.2365 0.0071  2 Pb 2.89-3.13, 3 Ba 3.01-3.22
Pb2 0.5000 0.5000 0.5000  6 S 2.89-3.18

# 7
An optimized crystal structure of TaRe2Ir2, computed with PBE.

Summary:
The energy is -109.66 eV/cell. Its space group is P4/mbm, No. 127.

Cell: 7.6076 7.6076 2.7500 Å, 90.00 90.00 90.00°
With the nearest neighbours (Å) after each atom.
Atoms (fractional coordinates):
Ta1 0.0000 0.0000 0.0000  2 Ta 2.75, 4 Ir 3.02
Re1 0.6740 0.8260 0.5000  6 Ir 2.58-2.67, 2 Re 2.75
Re2 0.8260 0.3260 0.5000  6 Ir 2.58-2.67, 2 Re 2.75
Ir1 0.6230 0.1230 0.0000  6 Re 2.58-2.67, 3 Ir 2.65-2.75
Ir2 0.8770 0.6230 0.0000  6 Re 2.58-2.67, 3 Ir 2.65-2.75
Ir3 0.3770 0.8770 0.0000  6 Re 2.58-2.67, 3 Ir 2.65-2.75
Re3 0.1740 0.6740 0.5000  6 Ir 2.58-2.67, 2 Re 2.75
Re4 0.3260 0.1740 0.5000  6 Ir 2.58-2.67, 2 Re 2.75
Ta2 0.5000 0.5000 0.0000  2 Ta 2.75, 4 Ir 3.02
Ir4 0.1230 0.3770 0.0000  6 Re 2.58-2.67, 3 Ir 2.65-2.75

# 8
An optimized crystal structure of Tb3PmPa2N6, computed with PBE.

Summary:
Its space group is C2/m, No. 12. The value obtained for the formation energy without anion corrections is -1.652 eV/atom.

Cell: 6.0980 6.0980 6.0779 Å, 99.62 99.62 119.99°
With the nearest neighbours (Å) after each atom.
Atoms (fractional coordinates):
N1 0.9201 0.5676 0.7613  2 Pa 2.40, 3 Tb 2.44-2.58, 1 Pm 2.55
N2 0.5676 0.9201 0.7613  2 Pa 2.40, 3 Tb 2.44-2.58, 1 Pm 2.55
Pm1 0.0000 0.0000 0.0000  6 N 2.55
Pa1 0.6669 0.3331 0.0000  6 N 2.40-2.41
N3 0.4324 0.0799 0.2387  2 Pa 2.40, 3 Tb 2.44-2.58, 1 Pm 2.55
Tb1 0.5000 0.5000 0.5000  6 N 2.43-2.57
Tb2 0.1654 0.8346 0.5000  6 N 2.44-2.58
N4 0.0799 0.4324 0.2387  2 Pa 2.40, 3 Tb 2.44-2.58, 1 Pm 2.55
N5 0.2718 0.2718 0.7600  2 Pa 2.41, 3 Tb 2.43-2.56, 1 Pm 2.55
N6 0.7282 0.7282 0.2400  2 Pa 2.41, 3 Tb 2.43-2.56, 1 Pm 2.55
Tb3 0.8346 0.1654 0.5000  6 N 2.44-2.58
Pa2 0.3331 0.6669 0.0000  6 N 2.40-2.41